# 1
# KBa2HgH

A relaxed KBa2HgH crystal (GGA-PBE, Alexandria via LeMat-Bulk).

The structure in POSCAR format:
```
KBa2HgH
1.0
5.7908 0.0000 0.0000
0.0000 5.7908 0.0000
0.0000 0.0000 5.2034
K Ba Hg H
1 2 1 1
Direct
0.0000 0.0000 0.0000 K
0.0000 0.5000 0.5000 Ba
0.5000 0.0000 0.5000 Ba
0.5000 0.5000 0.0000 Hg
0.0000 0.0000 0.5000 H
```

- theoretical density (g cm⁻³) = 4.904
- energy (eV for the cell shown) = -9.7



# 2
# Sm4Dy5Y2

A relaxed Sm4Dy5Y2 crystal (GGA-PBE, Alexandria via LeMat-Bulk).

The structure in POSCAR format:
```
Sm4Dy5Y2
1.0
5.5403 -3.7219 0.0000
5.5403 3.7219 0.0000
-2.4754 0.0000 8.8033
Sm Dy Y
4 5 2
Direct
0.1691 0.1691 0.1187 Sm
0.1874 0.1874 0.4960 Sm
0.8126 0.8126 0.5040 Sm
0.8309 0.8309 0.8813 Sm
0.1480 0.7084 0.2240 Dy
0.2916 0.8520 0.7760 Dy
0.5000 0.5000 0.5000 Dy
0.7084 0.1480 0.2240 Dy
0.8520 0.2916 0.7760 Dy
0.3585 0.3585 0.8754 Y
0.6415 0.6415 0.1246 Y
```

- theoretical density (g cm⁻³) = 7.280
- ΔE to the lowest computed polymorph (eV/f.u.) = 0.17
- formation energy from the elements (eV/atom) = 0.119
- energy (eV for the cell shown) = -53.5



# 3
# LiLa2PdO6

A relaxed LiLa2PdO6 crystal (GGA-PBE, Alexandria via LeMat-Bulk).

The structure in POSCAR format:
```
LiLa2PdO6
1.0
5.5435 0.0000 0.0000
0.0000 5.8324 0.0000
-5.5325 0.0000 7.8472
Li La Pd O
2 4 2 12
Direct
0.0000 0.0000 0.0000 Li
0.0000 0.5000 0.5000 Li
0.2360 0.0660 0.7492 La
0.2360 0.4340 0.2492 La
0.7640 0.5660 0.7508 La
0.7640 0.9340 0.2508 La
0.5000 0.0000 0.5000 Pd
0.5000 0.5000 0.0000 Pd
0.1569 0.1911 0.4537 O
0.1569 0.3089 0.9537 O
0.2677 0.7091 0.4542 O
0.2677 0.7909 0.9542 O
0.3402 0.0258 0.2527 O
0.3402 0.4742 0.7527 O
0.6598 0.5258 0.2473 O
0.6598 0.9742 0.7473 O
0.7323 0.2091 0.0458 O
0.7323 0.2909 0.5458 O
0.8431 0.6911 0.0463 O
0.8431 0.8089 0.5463 O
```

- theoretical density (g cm⁻³) = 6.377
- ΔE_f (raw) (meV per atom) = -2166
- energy (eV for the cell shown) = -136.8